Below is CsY2SbBr at its PBEsol-relaxed geometry, with properties calculated at the meta-GGA SCAN level.

Results
raw formation energy: 0.919 eV/atom
E_tot: -29.124 eV/atom
SG: No. 123

a = 5.6274 Å, b = 5.7995 Å, c = 5.7995 Å
α = 90.00°, β = 90.00°, γ = 90.00°
With the nearest neighbours (Å) after each atom.
Element x y z (fractional)
Cs1 0.0000 0.0000 0.0000  2 Br 2.81, 4 Y 2.90
Y1 0.0000 0.5000 0.0000  2 Cs 2.90
Y2 0.0000 0.0000 0.5000  2 Cs 2.90
Br1 0.5000 0.0000 0.0000  2 Cs 2.81
Sb1 0.5000 0.5000 0.5000  8 Y 4.04, 4 Br 4.10

=====

Below is Cs3Sc2Br9 at its PBEsol-relaxed geometry, with properties calculated at the meta-GGA SCAN level.

Results
raw formation energy: -2.031 eV/atom
E_tot: -24.677 eV/atom
SG: No. 194

a = 7.5964 Å, b = 7.5964 Å, c = 19.1364 Å
α = 90.00°, β = 90.00°, γ = 120.00°
With the nearest neighbours (Å) after each atom.
Element x y z (fractional)
Br1 0.4912 0.9824 0.7500  2 Sc 2.75
Br2 0.8323 0.1677 0.4124  1 Sc 2.54
Br3 0.8323 0.6645 0.4124  1 Sc 2.54
Br4 0.6645 0.8323 0.9124  1 Sc 2.54
Br5 0.6645 0.8323 0.5876  1 Sc 2.54
Br6 0.5088 0.4912 0.2500  2 Sc 2.75
Br7 0.1677 0.8323 0.9124  1 Sc 2.54
Br8 0.1677 0.8323 0.5876  1 Sc 2.54
Br9 0.0176 0.5088 0.7500  2 Sc 2.75
Br10 0.5088 0.0176 0.2500  2 Sc 2.75
Br11 0.1677 0.3355 0.9124  1 Sc 2.54
Br12 0.3355 0.1677 0.4124  1 Sc 2.54
Br13 0.4912 0.5088 0.7500  2 Sc 2.75
Br14 0.8323 0.6645 0.0876  1 Sc 2.54
Br15 0.8323 0.1677 0.0876  1 Sc 2.54
Br16 0.9824 0.4912 0.2500  2 Sc 2.75
Br17 0.3355 0.1677 0.0876  1 Sc 2.54
Br18 0.1677 0.3355 0.5876  1 Sc 2.54
Sc1 0.3333 0.6667 0.6558  6 Br 2.54-2.75
Sc2 0.6667 0.3333 0.3442  6 Br 2.54-2.75
Sc3 0.3333 0.6667 0.8442  6 Br 2.54-2.75
Sc4 0.6667 0.3333 0.1558  6 Br 2.54-2.75
Cs1 0.6667 0.3333 0.5737  12 Br 3.78-4.09
Cs2 0.6667 0.3333 0.9263  12 Br 3.78-4.09
Cs3 0.0000 0.0000 0.2500  12 Br 3.80-3.81
Cs4 0.3333 0.6667 0.0737  12 Br 3.78-4.09
Cs5 0.3333 0.6667 0.4263  12 Br 3.78-4.09
Cs6 0.0000 0.0000 0.7500  12 Br 3.80-3.81

=====

Below is Cs3ScBr6 at its PBEsol-relaxed geometry, with properties calculated at the meta-GGA SCAN level.

Results
raw formation energy: -1.966 eV/atom
E_tot: -26.409 eV/atom
SG: No. 225

a = 8.3899 Å, b = 8.3899 Å, c = 8.3899 Å
α = 60.00°, β = 60.00°, γ = 60.00°
With the nearest neighbours (Å) after each atom.
Element x y z (fractional)
Cs1 0.5000 0.5000 0.5000  6 Br 3.31
Cs2 0.2500 0.2500 0.2500  12 Br 4.21
Cs3 0.7500 0.7500 0.7500  12 Br 4.21
Br1 0.2210 0.2210 0.7790  1 Sc 2.62
Br2 0.7790 0.7790 0.2210  1 Sc 2.62
Br3 0.2210 0.7790 0.2210  1 Sc 2.62
Br4 0.2210 0.7790 0.7790  1 Sc 2.62
Br5 0.7790 0.2210 0.7790  1 Sc 2.62
Br6 0.7790 0.2210 0.2210  1 Sc 2.62
Sc1 0.0000 0.0000 0.0000  6 Br 2.62

=====

Below is Cs2ScTlBr6 at its PBEsol-relaxed geometry, with properties calculated at the meta-GGA SCAN level.

Results
raw formation energy: -1.785 eV/atom
E_tot: -29.683 eV/atom
SG: No. 225

a = 8.0866 Å, b = 8.0866 Å, c = 8.0866 Å
α = 60.00°, β = 60.00°, γ = 60.00°
With the nearest neighbours (Å) after each atom.
Element x y z (fractional)
Br1 0.7705 0.2295 0.7705  1 Sc 2.62
Br2 0.2295 0.2295 0.7705  1 Sc 2.62
Br3 0.7705 0.2295 0.2295  1 Sc 2.62
Br4 0.2295 0.7705 0.2295  1 Sc 2.62
Br5 0.2295 0.7705 0.7705  1 Sc 2.62
Br6 0.7705 0.7705 0.2295  1 Sc 2.62
Cs1 0.2500 0.2500 0.2500  12 Br 4.05
Cs2 0.7500 0.7500 0.7500  12 Br 4.05
Sc1 0.0000 0.0000 0.0000  6 Br 2.62
Tl1 0.5000 0.5000 0.5000  6 Br 3.09

=====

Below is CsSeBr2 at its PBEsol-relaxed geometry, with properties calculated at the meta-GGA SCAN level.

Results
raw formation energy: -0.504 eV/atom
E_tot: -24.706 eV/atom
SG: No. 166

a = 5.1998 Å, b = 5.1998 Å, c = 6.4227 Å
α = 66.12°, β = 66.12°, γ = 60.00°
With the nearest neighbours (Å) after each atom.
Element x y z (fractional)
Se1 0.5000 0.5000 0.5000  6 Br 3.06
Br1 0.7977 0.7977 0.6068  3 Se 3.06, 3 Br 3.24
Br2 0.2023 0.2023 0.3932  3 Se 3.06, 3 Br 3.24
Cs1 0.0000 0.0000 0.0000  8 Br 3.45-3.74

=====

Below is Cs3SeBr at its PBEsol-relaxed geometry, with properties calculated at the meta-GGA SCAN level.

Results
raw formation energy: -1.184 eV/atom
E_tot: -31.778 eV/atom
SG: No. 221

a = 6.5176 Å, b = 6.5176 Å, c = 6.5176 Å
α = 90.00°, β = 90.00°, γ = 90.00°
With the nearest neighbours (Å) after each atom.
Element x y z (fractional)
Cs1 0.0000 0.5000 0.0000  2 Br 3.26
Cs2 0.5000 0.0000 0.0000  2 Br 3.26
Cs3 0.0000 0.0000 0.5000  2 Br 3.26
Se1 0.5000 0.5000 0.5000  12 Cs 4.61
Br1 0.0000 0.0000 0.0000  6 Cs 3.26

=====

Below is CsSiSe2Br at its PBEsol-relaxed geometry, with properties calculated at the meta-GGA SCAN level.

Results
raw formation energy: 1.171 eV/atom
E_tot: -20.318 eV/atom
SG: No. 123

a = 5.6417 Å, b = 5.6417 Å, c = 6.1663 Å
α = 90.00°, β = 90.00°, γ = 90.00°
With the nearest neighbours (Å) after each atom.
Element x y z (fractional)
Cs1 0.0000 0.0000 0.0000  4 Se 2.82, 2 Br 3.08
Si1 0.5000 0.5000 0.5000  4 Br 3.99, 8 Se 4.18
Se1 0.5000 0.0000 0.0000  2 Cs 2.82
Se2 0.0000 0.5000 0.0000  2 Cs 2.82
Br1 0.0000 0.0000 0.5000  2 Cs 3.08

=====

Below is CsSrSe2Br at its PBEsol-relaxed geometry, with properties calculated at the meta-GGA SCAN level.

Results
energy above the most stable polymorph in this dataset: 750 meV per atom
raw formation energy: -0.461 eV/atom
E_tot: -24.401 eV/atom
SG: No. 123

a = 5.6779 Å, b = 5.6779 Å, c = 6.1669 Å
α = 90.00°, β = 90.00°, γ = 90.00°
With the nearest neighbours (Å) after each atom.
Element x y z (fractional)
Se1 0.0000 0.5000 0.0000  2 Cs 2.84
Se2 0.5000 0.0000 0.0000  2 Cs 2.84
Cs1 0.0000 0.0000 0.0000  4 Se 2.84, 2 Br 3.08
Sr1 0.5000 0.5000 0.5000  4 Br 4.01, 8 Se 4.19
Br1 0.0000 0.0000 0.5000  2 Cs 3.08

=====

E_tot of number 1 (CsY2SbBr)? -29.124 eV/atom